The following is a PBE-GGA calculation of Nd2TmHfAs4 after structural relaxation, from the Alexandria database.

The value obtained for the electronic total energy is -0.24614 Ha/atom. Its formation enthalpy at 0 K is -1.3780 eV/atom. Its density of states at the Fermi level is 0.1777 states/eV/atom.

It has space group P2/m (No. 10), with a = 7.089 Å, b = 4.091 Å, c = 7.110 Å, α = 90.00°, β = 109.25° and γ = 90.00°. The distinct sites, in fractional coordinates, are Nd at (0.000, 0.000, 0.000), Nd at (0.500, 0.500, 0.000), Tm at (0.000, 0.500, 0.500), Hf at (0.500, 0.000, 0.500), As at (0.251, 0.000, 0.731) and As at (0.265, 0.500, 0.274).

The following is a PBE-GGA calculation of Nd2HfZrAs4 after structural relaxation, from the Alexandria database.

The value obtained for the electronic total energy is -0.26093 Ha/atom. Its formation enthalpy at 0 K is -1.2710 eV/atom. Its density of states at the Fermi level is 0.5326 states/eV/atom.

It has space group P2/m (No. 10), with a = 6.985 Å, b = 4.027 Å, c = 7.072 Å, α = 90.00°, β = 109.27° and γ = 90.00°. The distinct sites, in fractional coordinates, are Nd at (0.000, 0.000, 0.000), Nd at (0.500, 0.500, 0.000), Hf at (0.000, 0.500, 0.500), Zr at (0.500, 0.000, 0.500), As at (0.239, 0.000, 0.723) and As at (0.256, 0.500, 0.275).

The following is a PBE-GGA calculation of Hf3Ni3As4 after structural relaxation, from the Alexandria database.

The value obtained for the electronic total energy is -0.27083 Ha/atom. Its formation enthalpy at 0 K is -0.7894 eV/atom.

It has space group I-43d (No. 220), with a = 8.635 Å, b = 8.635 Å, c = 8.635 Å, α = 90.00°, β = 90.00° and γ = 90.00°. The distinct sites, in fractional coordinates, are Hf at (0.000, 0.250, 0.375), Ni at (0.000, 0.250, 0.875) and As at (0.082, 0.082, 0.082).

The following is a PBE-GGA calculation of HfNi2As after structural relaxation, from the Alexandria database.

The value obtained for the electronic total energy is -0.24988 Ha/atom. Its formation enthalpy at 0 K is -0.2581 eV/atom. Its density of states at the Fermi level is 0.3133 states/eV/atom.

It has space group I-42d (No. 122), with a = 3.840 Å, b = 3.840 Å, c = 16.981 Å, α = 90.00°, β = 90.00° and γ = 90.00°. The distinct sites, in fractional coordinates, are Hf at (0.000, 0.000, 0.000), Ni at (0.217, 0.250, 0.625) and As at (0.000, 0.000, 0.500).

The following is a PBE-GGA calculation of Hf2NiAs2 after structural relaxation, from the Alexandria database.

The value obtained for the electronic total energy is -0.27944 Ha/atom. Its formation enthalpy at 0 K is -0.6064 eV/atom. Its density of states at the Fermi level is 0.4965 states/eV/atom.

It has space group P4/mbm (No. 127), with a = 6.906 Å, b = 6.906 Å, c = 3.648 Å, α = 90.00°, β = 90.00° and γ = 90.00°. The distinct sites, in fractional coordinates, are Hf at (0.157, 0.343, 0.000), Ni at (0.000, 0.000, 0.500) and As at (0.151, 0.651, 0.500).

The following is a PBE-GGA calculation of HfNi3As after structural relaxation, from the Alexandria database.

The value obtained for the electronic total energy is -0.19278 Ha/atom. The value obtained for the energy above the lowest structure with this stoichiometry is 1194 meV per atom. Its formation enthalpy at 0 K is 1.1435 eV/atom. Its density of states at the Fermi level is 0.5378 states/eV/atom.

It has space group Pm-3m (No. 221), with a = 4.570 Å, b = 4.570 Å, c = 4.570 Å, α = 90.00°, β = 90.00° and γ = 90.00°. The distinct sites, in fractional coordinates, are Hf at (0.000, 0.000, 0.000), Ni at (0.000, 0.000, 0.500) and As at (0.500, 0.500, 0.500).

The following is a PBE-GGA calculation of HfNi3As after structural relaxation, from the Alexandria database.

The value obtained for the electronic total energy is -0.23665 Ha/atom. The value obtained for the energy above the lowest structure with this stoichiometry is 0 meV per atom. Its formation enthalpy at 0 K is -0.0503 eV/atom. Its density of states at the Fermi level is 0.4236 states/eV/atom.

It has space group I-4m2 (No. 119), with a = 4.614 Å, b = 4.614 Å, c = 15.697 Å, α = 90.00°, β = 90.00° and γ = 90.00°. The distinct sites, in fractional coordinates, are Hf at (0.000, 0.000, 0.152), Ni at (0.000, 0.244, 0.624), Ni at (0.000, 0.500, 0.059), As at (0.000, 0.000, 0.500) and As at (0.000, 0.500, 0.750).

The following is a PBE-GGA calculation of HfNiAs2 after structural relaxation, from the Alexandria database.

The value obtained for the electronic total energy is -0.23877 Ha/atom. Its formation enthalpy at 0 K is -0.2389 eV/atom. Its density of states at the Fermi level is 0.4144 states/eV/atom.

It has space group Fm-3m (No. 225), with a = 6.430 Å, b = 6.430 Å, c = 6.430 Å, α = 90.00°, β = 90.00° and γ = 90.00°. The distinct sites, in fractional coordinates, are Hf at (0.000, 0.000, 0.000), Ni at (0.000, 0.000, 0.500) and As at (0.250, 0.250, 0.250).

The following is a PBE-GGA calculation of Hf3Ni6As5 after structural relaxation, from the Alexandria database.

The value obtained for the electronic total energy is -0.25336 Ha/atom. Its formation enthalpy at 0 K is -0.6231 eV/atom. Its density of states at the Fermi level is 0.4905 states/eV/atom.

It has space group Pmmn (No. 59, origin choice 2), with a = 3.744 Å, b = 11.513 Å, c = 9.505 Å, α = 90.00°, β = 90.00° and γ = 90.00°. The distinct sites, in fractional coordinates, are Hf at (0.250, 0.089, 0.246), Hf at (0.250, 0.750, 0.259), Ni at (0.250, 0.071, 0.614), Ni at (0.250, 0.250, 0.473), Ni at (0.250, 0.250, 0.995), Ni at (0.250, 0.585, 0.997), As at (0.250, 0.084, 0.852), As at (0.250, 0.621, 0.528) and As at (0.250, 0.750, 0.844).

The following is a PBE-GGA calculation of HfNiAs2 after structural relaxation, from the Alexandria database.

The value obtained for the electronic total energy is -0.24389 Ha/atom. Its formation enthalpy at 0 K is -0.3781 eV/atom. Its density of states at the Fermi level is 0.5601 states/eV/atom.

It has space group I-42d (No. 122), with a = 6.820 Å, b = 6.820 Å, c = 5.930 Å, α = 90.00°, β = 90.00° and γ = 90.00°. The distinct sites, in fractional coordinates, are Hf at (0.000, 0.000, 0.000), Ni at (0.000, 0.000, 0.500) and As at (0.200, 0.750, 0.625).

The following is a PBE-GGA calculation of HfNi2As after structural relaxation, from the Alexandria database.

The value obtained for the electronic total energy is -0.25587 Ha/atom. Its formation enthalpy at 0 K is -0.4211 eV/atom. Its density of states at the Fermi level is 0.6230 states/eV/atom.

It has space group R-3m (No. 166, hexagonal axes), with a = 3.9328 Å, b = 3.9328 Å, c = 13.1778 Å, α = 90.00°, β = 90.00° and γ = 120.00°. The distinct sites, in fractional coordinates, are Hf at (0.0000, 0.0000, 0.0000), Ni at (0.0000, 0.0000, 0.2156) and As at (0.0000, 0.0000, 0.5000).

The following is a PBE-GGA calculation of HfNi7As2 after structural relaxation, from the Alexandria database.

The value obtained for the electronic total energy is -0.23158 Ha/atom. Its formation enthalpy at 0 K is -0.3293 eV/atom. Its density of states at the Fermi level is 0.7057 states/eV/atom.

It has space group I4/mmm (No. 139), with a = 3.787 Å, b = 3.787 Å, c = 18.698 Å, α = 90.00°, β = 90.00° and γ = 90.00°. The distinct sites, in fractional coordinates, are Hf at (0.000, 0.000, 0.000), Ni at (0.000, 0.000, 0.500), Ni at (0.000, 0.500, 0.099), Ni at (0.000, 0.500, 0.250) and As at (0.000, 0.000, 0.325).

The following is a PBE-GGA calculation of Hf2Ni3As3 after structural relaxation, from the Alexandria database.

The value obtained for the electronic total energy is -0.26122 Ha/atom. Its formation enthalpy at 0 K is -0.7082 eV/atom. Its density of states at the Fermi level is 0.5933 states/eV/atom.

It has space group Pnma (No. 62), with a = 12.744 Å, b = 3.734 Å, c = 10.379 Å, α = 90.00°, β = 90.00° and γ = 90.00°. The distinct sites, in fractional coordinates, are Hf at (0.006, 0.250, 0.170), Hf at (0.211, 0.750, 0.573), Ni at (0.014, 0.250, 0.596), Ni at (0.166, 0.750, 0.275), Ni at (0.216, 0.750, 0.862), As at (0.104, 0.250, 0.400), As at (0.124, 0.750, 0.052) and As at (0.143, 0.250, 0.759).

The following is a PBE-GGA calculation of HfNi3As after structural relaxation, from the Alexandria database.

The value obtained for the electronic total energy is -0.23056 Ha/atom. The value obtained for the energy above the lowest structure with this stoichiometry is 166 meV per atom. Its formation enthalpy at 0 K is 0.1154 eV/atom. Its density of states at the Fermi level is 0.6296 states/eV/atom.

It has space group Pm-3m (No. 221), with a = 4.298 Å, b = 4.298 Å, c = 4.298 Å, α = 90.00°, β = 90.00° and γ = 90.00°. The distinct sites, in fractional coordinates, are Hf at (0.000, 0.000, 0.000), Ni at (0.000, 0.500, 0.500) and As at (0.500, 0.500, 0.500).